LiDyZr, relaxed, DFT PBE; E_form = 0.0817 eV/atom; calculated density = 5.702 g/cm3; distance to the lowest polymorph of the same formula = 0.0 meV per atom; space-group type = No. 129; total energy = -29.6 eV/cell; crystal system = tetragonal
1.0
-1.306 0.437 2.989
-0.507 -3.242 0.253
12.685 -1.535 5.769
Zr Dy Li
2 2 2
Cartesian
4.684 -0.427 3.921 Zr
7.095 -2.510 3.468 Zr
8.825 -0.928 5.805 Dy
2.954 -2.009 1.585 Dy
0.216 0.113 1.890 Li
11.562 -3.051 5.500 Li

Zr2Mn3Fe, relaxed, DFT PBE; E_form = -0.1962 eV/atom; calculated density = 7.780 g/cm3; distance to the lowest polymorph of the same formula = 8.8 meV per atom; space-group type = No. 194; total energy = -108.5 eV/cell; crystal system = hexagonal
1.0
-2.296 -4.063 -1.540
1.502 0.355 4.666
-7.242 3.304 2.080
Mn Zr Fe
6 4 2
Cartesian
-1.690 0.257 1.842 Mn
-5.956 1.159 1.829 Mn
-2.080 -1.564 3.377 Mn
-7.083 -0.836 1.073 Mn
-6.345 -0.662 3.364 Mn
-0.953 0.431 4.133 Mn
-4.182 -1.153 1.434 Zr
-6.537 1.972 4.542 Zr
-3.854 0.748 3.772 Zr
-1.499 -2.376 0.663 Zr
0.000 0.000 0.000 Fe
-3.621 1.652 1.040 Fe